Version a
# GGA-PBE Mg2CrB, relaxed
data_Mg2CrB
_chemical_formula_sum 'Mg8 Cr4 B4'
_cell_length_a 8.112
_cell_length_b 8.112
_cell_length_c 4.059
_cell_angle_alpha 90.00
_cell_angle_beta 90.00
_cell_angle_gamma 90.00
_symmetry_space_group_name_H-M 'I -4 2 d'
_symmetry_Int_Tables_number 122
_symmetry_space_group_name_Hall 'I -4 2bw'
loop_
_atom_site_label
_atom_site_type_symbol
_atom_site_fract_x
_atom_site_fract_y
_atom_site_fract_z
Mg1 Mg 0.120 0.750 0.125
Cr1 Cr 0.000 0.000 0.500
B1 B 0.000 0.000 0.000
# - DOS(E_F) (states/eV/cell) = 17.5
# - total moment (μB/cell) = 0.000



Version b
# GGA-PBE Mg2CrB, relaxed
data_Mg2CrB
_chemical_formula_sum 'Mg8 Cr4 B4'
_cell_length_a 6.038
_cell_length_b 6.038
_cell_length_c 6.038
_cell_angle_alpha 90.00
_cell_angle_beta 90.00
_cell_angle_gamma 90.00
_symmetry_space_group_name_H-M 'F m -3 m'
_symmetry_Int_Tables_number 225
_symmetry_space_group_name_Hall '-F 4 2 3'
loop_
_atom_site_label
_atom_site_type_symbol
_atom_site_fract_x
_atom_site_fract_y
_atom_site_fract_z
Mg1 Mg 0.250 0.250 0.250
Cr1 Cr 0.000 0.000 0.000
B1 B 0.000 0.000 0.500
# - DOS(E_F) (states/eV/cell) = 31.7
# - total moment (μB/cell) = 0.000



The structure with the most favorable energy is version a; the runner-up is 349 meV per atom above it.



Version a
# GGA-PBE MgCr3B, relaxed
data_MgCr3B
_chemical_formula_sum 'Mg1 Cr3 B1'
_cell_length_a 4.887
_cell_length_b 4.887
_cell_length_c 4.887
_cell_angle_alpha 90.00
_cell_angle_beta 90.00
_cell_angle_gamma 90.00
_symmetry_space_group_name_H-M 'P m -3 m'
_symmetry_Int_Tables_number 221
_symmetry_space_group_name_Hall '-P 4 2 3'
loop_
_atom_site_label
_atom_site_type_symbol
_atom_site_fract_x
_atom_site_fract_y
_atom_site_fract_z
Mg1 Mg 0.000 0.000 0.000
Cr1 Cr 0.000 0.000 0.500
B1 B 0.500 0.500 0.500
# - DOS(E_F) (states/eV/cell) = 6.6
# - total moment (μB/cell) = 13.073



Version b
# GGA-PBE MgCr3B, relaxed
data_MgCr3B
_chemical_formula_sum 'Mg1 Cr3 B1'
_cell_length_a 3.994
_cell_length_b 3.994
_cell_length_c 3.994
_cell_angle_alpha 90.00
_cell_angle_beta 90.00
_cell_angle_gamma 90.00
_symmetry_space_group_name_H-M 'P m -3 m'
_symmetry_Int_Tables_number 221
_symmetry_space_group_name_Hall '-P 4 2 3'
loop_
_atom_site_label
_atom_site_type_symbol
_atom_site_fract_x
_atom_site_fract_y
_atom_site_fract_z
Mg1 Mg 0.000 0.000 0.000
Cr1 Cr 0.000 0.500 0.500
B1 B 0.500 0.500 0.500
# - DOS(E_F) (states/eV/cell) = 6.2
# - total moment (μB/cell) = 2.962



The structure with the most favorable energy is version b; the runner-up is 2149 meV per atom above it.



Version a
# GGA-PBE Mg14CrB, relaxed
data_Mg14CrB
_chemical_formula_sum 'Mg14 Cr1 B1'
_cell_length_a 6.2546
_cell_length_b 6.2546
_cell_length_c 9.7792
_cell_angle_alpha 90.00
_cell_angle_beta 90.00
_cell_angle_gamma 120.00
_symmetry_space_group_name_H-M 'P -6 m 2'
_symmetry_Int_Tables_number 187
_symmetry_space_group_name_Hall 'P -6 2'
loop_
_atom_site_label
_atom_site_type_symbol
_atom_site_fract_x
_atom_site_fract_y
_atom_site_fract_z
Mg1 Mg 0.0000 0.0000 0.2473
Mg2 Mg 0.0163 0.5082 0.2619
Mg3 Mg 0.3261 0.1631 0.5000
Mg4 Mg 0.3386 0.1693 0.0000
Cr1 Cr 0.3333 0.6667 0.0000
B1 B 0.3333 0.6667 0.5000
# - DOS(E_F) (states/eV/cell) = 6.9
# - total moment (μB/cell) = 4.093



Version b
# GGA-PBE Mg14CrB, relaxed
data_Mg14CrB
_chemical_formula_sum 'Mg28 Cr2 B2'
_cell_length_a 9.905
_cell_length_b 6.325
_cell_length_c 10.690
_cell_angle_alpha 90.00
_cell_angle_beta 90.00
_cell_angle_gamma 90.00
_symmetry_space_group_name_H-M 'A m m 2'
_symmetry_Int_Tables_number 38
loop_
_symmetry_equiv_pos_as_xyz
'x,y,z'
'-x,-y,z'
'-x,y,z'
'x,-y,z'
'x,y+1/2,z+1/2'
'-x,-y+1/2,z+1/2'
'-x,y+1/2,z+1/2'
'x,-y+1/2,z+1/2'
loop_
_atom_site_label
_atom_site_type_symbol
_atom_site_fract_x
_atom_site_fract_y
_atom_site_fract_z
Mg1 Mg 0.000 0.000 0.000
Mg2 Mg 0.000 0.000 0.497
Mg3 Mg 0.000 0.249 0.743
Mg4 Mg 0.250 0.000 0.830
Mg5 Mg 0.254 0.000 0.324
Mg6 Mg 0.285 0.237 0.570
Mg7 Mg 0.500 0.245 0.275
Cr1 Cr 0.500 0.000 0.000
B1 B 0.500 0.000 0.470
# - DOS(E_F) (states/eV/cell) = 13.2
# - total moment (μB/cell) = 7.733



The structure with the most favorable energy is version b; the runner-up is 11 meV per atom above it.



Version a
# GGA-PBE MgCr2B, relaxed
data_MgCr2B
_chemical_formula_sum 'Mg4 Cr8 B4'
_cell_length_a 5.778
_cell_length_b 5.778
_cell_length_c 5.778
_cell_angle_alpha 90.00
_cell_angle_beta 90.00
_cell_angle_gamma 90.00
_symmetry_space_group_name_H-M 'F m -3 m'
_symmetry_Int_Tables_number 225
_symmetry_space_group_name_Hall '-F 4 2 3'
loop_
_atom_site_label
_atom_site_type_symbol
_atom_site_fract_x
_atom_site_fract_y
_atom_site_fract_z
Mg1 Mg 0.000 0.000 0.000
Cr1 Cr 0.250 0.250 0.250
B1 B 0.000 0.000 0.500
# - DOS(E_F) (states/eV/cell) = 17.2
# - total moment (μB/cell) = 21.101



Version b
# GGA-PBE MgCr2B, relaxed
data_MgCr2B
_chemical_formula_sum 'Mg4 Cr8 B4'
_cell_length_a 3.456
_cell_length_b 3.456
_cell_length_c 16.918
_cell_angle_alpha 90.00
_cell_angle_beta 90.00
_cell_angle_gamma 90.00
_symmetry_space_group_name_H-M 'I -4 2 d'
_symmetry_Int_Tables_number 122
_symmetry_space_group_name_Hall 'I -4 2bw'
loop_
_atom_site_label
_atom_site_type_symbol
_atom_site_fract_x
_atom_site_fract_y
_atom_site_fract_z
Mg1 Mg 0.000 0.000 0.000
Cr1 Cr 0.185 0.750 0.625
B1 B 0.000 0.000 0.500
# - DOS(E_F) (states/eV/cell) = 20.4
# - total moment (μB/cell) = 0.000



The structure with the most favorable energy is version a; the runner-up is 140 meV per atom above it.



Version a
# GGA-PBE Mg3CrB, relaxed
data_Mg3CrB
_chemical_formula_sum 'Mg3 Cr1 B1'
_cell_length_a 5.136
_cell_length_b 5.136
_cell_length_c 5.136
_cell_angle_alpha 90.00
_cell_angle_beta 90.00
_cell_angle_gamma 90.00
_symmetry_space_group_name_H-M 'P m -3 m'
_symmetry_Int_Tables_number 221
_symmetry_space_group_name_Hall '-P 4 2 3'
loop_
_atom_site_label
_atom_site_type_symbol
_atom_site_fract_x
_atom_site_fract_y
_atom_site_fract_z
Mg1 Mg 0.000 0.000 0.500
Cr1 Cr 0.000 0.000 0.000
B1 B 0.500 0.500 0.500
# - DOS(E_F) (states/eV/cell) = 4.2
# - total moment (μB/cell) = 4.171



Version b
# GGA-PBE Mg3CrB, relaxed
data_Mg3CrB
_chemical_formula_sum 'Mg3 Cr1 B1'
_cell_length_a 4.470
_cell_length_b 4.470
_cell_length_c 4.470
_cell_angle_alpha 90.00
_cell_angle_beta 90.00
_cell_angle_gamma 90.00
_symmetry_space_group_name_H-M 'P m -3 m'
_symmetry_Int_Tables_number 221
_symmetry_space_group_name_Hall '-P 4 2 3'
loop_
_atom_site_label
_atom_site_type_symbol
_atom_site_fract_x
_atom_site_fract_y
_atom_site_fract_z
Mg1 Mg 0.000 0.000 0.500
Cr1 Cr 0.500 0.500 0.500
B1 B 0.000 0.000 0.000
# - DOS(E_F) (states/eV/cell) = 6.6
# - total moment (μB/cell) = 0.226



The structure with the most favorable energy is version b; the runner-up is 662 meV per atom above it.



Version a
# GGA-PBE Mg6CrB, relaxed
data_Mg6CrB
_chemical_formula_sum 'Mg12 Cr2 B2'
_cell_length_a 3.279
_cell_length_b 9.324
_cell_length_c 10.196
_cell_angle_alpha 90.00
_cell_angle_beta 90.00
_cell_angle_gamma 90.00
_symmetry_space_group_name_H-M 'A m m 2'
_symmetry_Int_Tables_number 38
loop_
_symmetry_equiv_pos_as_xyz
'x,y,z'
'-x,-y,z'
'-x,y,z'
'x,-y,z'
'x,y+1/2,z+1/2'
'-x,-y+1/2,z+1/2'
'-x,y+1/2,z+1/2'
'x,-y+1/2,z+1/2'
loop_
_atom_site_label
_atom_site_type_symbol
_atom_site_fract_x
_atom_site_fract_y
_atom_site_fract_z
Mg1 Mg 0.000 0.000 0.000
Mg2 Mg 0.000 0.167 0.723
Mg3 Mg 0.500 0.000 0.252
Mg4 Mg 0.500 0.237 0.472
Cr1 Cr 0.000 0.000 0.491
B1 B 0.500 0.000 0.607
# - DOS(E_F) (states/eV/cell) = 8.5
# - total moment (μB/cell) = 4.336



Version b
# GGA-PBE Mg6CrB, relaxed
data_Mg6CrB
_chemical_formula_sum 'Mg12 Cr2 B2'
_cell_length_a 4.716
_cell_length_b 5.959
_cell_length_c 10.711
_cell_angle_alpha 90.00
_cell_angle_beta 90.00
_cell_angle_gamma 90.00
_symmetry_space_group_name_H-M 'A m m 2'
_symmetry_Int_Tables_number 38
loop_
_symmetry_equiv_pos_as_xyz
'x,y,z'
'-x,-y,z'
'-x,y,z'
'x,-y,z'
'x,y+1/2,z+1/2'
'-x,-y+1/2,z+1/2'
'-x,y+1/2,z+1/2'
'x,-y+1/2,z+1/2'
loop_
_atom_site_label
_atom_site_type_symbol
_atom_site_fract_x
_atom_site_fract_y
_atom_site_fract_z
Mg1 Mg 0.000 0.000 0.000
Mg2 Mg 0.000 0.000 0.495
Mg3 Mg 0.000 0.244 0.260
Mg4 Mg 0.500 0.245 0.098
Cr1 Cr 0.500 0.000 0.842
B1 B 0.500 0.000 0.308
# - DOS(E_F) (states/eV/cell) = 7.4
# - total moment (μB/cell) = 7.439



The structure with the most favorable energy is version a; the runner-up is 257 meV per atom above it.